The following is a PBE-GGA calculation of crystalline Na2UPbO6 at its relaxed geometry, from the Alexandria database.

Cell and atoms, written as extended XYZ:
```
10
Lattice="2.903 1.676 4.898 -2.903 1.676 4.898 0.000 -3.353 4.898" Properties=species:S:1:pos:R:3 pbc="T T T"
Na 0.000 0.000 0.000
Na 0.000 0.000 7.332
U 0.000 0.000 10.710
Pb 0.000 0.000 3.385
O -1.202 -2.044 6.947
O -1.648 0.322 9.463
O -1.170 2.063 6.947
O 0.545 -1.588 9.463
O 2.372 -0.019 6.947
O 1.103 1.266 9.463
```

Computed properties:
DOS(E_F)	0.000	states/eV per cell
electronic total energy	-6.809	eV/atom
formation energy (no corrections)	-2071	meV per atom
theoretical density	6.8	g/cm3

---

The following is a PBE-GGA calculation of crystalline CsBaSe2Br at its relaxed geometry, from the Alexandria database.

Cell and atoms, written as extended XYZ:
```
5
Lattice="5.786 0.000 0.000 0.000 5.786 0.000 0.000 0.000 6.301" Properties=species:S:1:pos:R:3 pbc="T T T"
Cs 0.000 0.000 0.000
Ba 2.893 2.893 3.150
Se 0.000 2.893 0.000
Se 2.893 0.000 0.000
Br 0.000 0.000 3.150
```

Computed properties:
DOS(E_F)	2.645	states/eV per cell
energy above the lowest structure with this stoichiometry	453	meV/atom
electronic total energy	-2.832	eV/atom
formation energy (no corrections)	-548	meV per atom
theoretical density	4.0	g/cm3

---

The following is a PBE-GGA calculation of crystalline HgPH3 at its relaxed geometry, from the Alexandria database.

Cell and atoms, written as extended XYZ:
```
10
Lattice="4.775 0.000 0.000 0.000 6.187 0.000 -0.186 0.000 6.404" Properties=species:S:1:pos:R:3 pbc="T T T"
Hg 0.311 1.547 2.043
Hg 4.278 4.640 4.361
P 2.143 4.640 1.652
P 2.446 1.547 4.752
H 1.439 4.640 0.403
H 1.552 0.507 5.161
H 1.552 2.587 5.161
H 3.037 3.600 1.244
H 3.037 5.680 1.244
H 3.150 1.547 6.002
```

Computed properties:
DOS(E_F)	0.000	states/eV per cell
energy above the lowest structure with this stoichiometry	0	meV/atom
electronic total energy	-3.159	eV/atom
theoretical density	4.1	g/cm3

---

The following is a PBE-GGA calculation of crystalline Tb3Pr7Er2 at its relaxed geometry, from the Alexandria database.

Cell and atoms, written as extended XYZ:
```
12
Lattice="6.521 0.000 0.000 0.000 3.585 0.000 -1.799 0.000 17.627" Properties=species:S:1:pos:R:3 pbc="T T T"
Tb 0.000 0.000 0.000
Tb -0.903 1.792 11.639
Tb 5.625 1.792 5.989
Pr 1.155 1.792 2.970
Pr 0.671 0.000 8.938
Pr 0.311 0.000 14.588
Pr 3.260 1.792 0.000
Pr 4.410 0.000 3.039
Pr 4.050 0.000 8.689
Pr 3.567 1.792 14.658
Er 2.279 0.000 5.822
Er 2.443 0.000 11.805
```

Computed properties:
DOS(E_F)	17.405	states/eV per cell
energy above the lowest structure with this stoichiometry	0	meV/atom
electronic total energy	-4.633	eV/atom
formation energy	0.9	eV per formula unit
theoretical density	7.2	g/cm3

---

The following is a PBE-GGA calculation of crystalline SrPNO2 at its relaxed geometry, from the Alexandria database.

Cell and atoms, written as extended XYZ:
```
5
Lattice="4.706 0.000 0.000 0.000 4.706 0.000 0.000 0.000 5.029" Properties=species:S:1:pos:R:3 pbc="T T T"
Sr 0.000 0.000 0.000
P 2.353 2.353 2.515
N 0.000 0.000 2.515
O 0.000 2.353 0.000
O 2.353 0.000 0.000
```

Computed properties:
DOS(E_F)	4.239	states/eV per cell
electronic total energy	-4.006	eV/atom
formation energy (no corrections)	1060	meV per atom
theoretical density	2.5	g/cm3

---

The following is a PBE-GGA calculation of crystalline Th2MgCu3Ge4 at its relaxed geometry, from the Alexandria database.

Cell and atoms, written as extended XYZ:
```
10
Lattice="4.246 0.000 0.000 0.000 4.246 0.000 0.000 0.000 10.452" Properties=species:S:1:pos:R:3 pbc="T T T"
Th 0.000 2.123 2.482
Th 2.123 0.000 7.969
Mg 0.000 0.000 5.226
Cu 0.000 2.123 9.172
Cu 2.123 0.000 1.279
Cu 2.123 2.123 5.226
Ge 0.000 0.000 0.000
Ge 0.000 2.123 6.784
Ge 2.123 0.000 3.667
Ge 2.123 2.123 0.000
```

Computed properties:
DOS(E_F)	2.932	states/eV per cell
electronic total energy	-5.178	eV/atom
formation energy	-4.6	eV per formula unit
theoretical density	8.5	g/cm3

---

The following is a PBE-GGA calculation of crystalline Ni2Pt at its relaxed geometry, from the Alexandria database.

Cell and atoms, written as extended XYZ:
```
6
Lattice="1.825 -5.559 0.000 1.825 5.559 0.000 0.000 0.000 3.737" Properties=species:S:1:pos:R:3 pbc="T T T"
Ni 1.825 4.586 2.803
Ni 1.825 2.771 0.934
Ni 1.825 -2.771 2.803
Ni 1.825 -4.586 0.934
Pt 1.825 0.983 2.803
Pt 1.825 -0.983 0.934
```

Computed properties:
DOS(E_F)	8.961	states/eV per cell
electronic total energy	-5.948	eV/atom
formation energy	-0.2	eV per formula unit
theoretical density	13.7	g/cm3

---

The following is a PBE-GGA calculation of crystalline NaSI3 at its relaxed geometry, from the Alexandria database.

Cell and atoms, written as extended XYZ:
```
5
Lattice="5.655 0.000 0.000 0.000 5.655 0.000 0.000 0.000 5.655" Properties=species:S:1:pos:R:3 pbc="T T T"
Na 0.000 0.000 0.000
S 2.827 2.827 2.827
I 0.000 2.827 2.827
I 2.827 0.000 2.827
I 2.827 2.827 0.000
```

Computed properties:
DOS(E_F)	1.002	states/eV per cell
energy above the lowest structure with this stoichiometry	0	meV/atom
electronic total energy	-2.269	eV/atom
formation energy (no corrections)	-250	meV per atom
theoretical density	4.0	g/cm3

---

The following is a PBE-GGA calculation of crystalline RbPuNiSe3 at its relaxed geometry, from the Alexandria database.

Cell and atoms, written as extended XYZ:
```
12
Lattice="9.410 0.000 0.000 0.000 4.103 0.000 -3.354 0.000 9.113" Properties=species:S:1:pos:R:3 pbc="T T T"
Rb 1.109 1.026 2.192
Rb 4.946 3.077 6.921
Pu 0.197 3.077 7.696
Pu 5.858 1.026 1.417
Ni -1.226 1.026 5.366
Ni 7.281 3.077 3.747
Se -1.726 1.026 7.756
Se -0.050 3.077 4.882
Se 3.854 3.077 1.444
Se 2.202 1.026 7.669
Se 6.105 1.026 4.231
Se 7.781 3.077 1.356
```

Computed properties:
DOS(E_F)	20.909	states/eV per cell
electronic total energy	-6.323	eV/atom
formation energy (no corrections)	-1067	meV per atom
theoretical density	5.9	g/cm3

---

The following is a PBE-GGA calculation of crystalline Sr2TaCoC at its relaxed geometry, from the Alexandria database.

Cell and atoms, written as extended XYZ:
```
5
Lattice="5.666 0.000 0.000 0.000 5.666 0.000 0.000 0.000 4.437" Properties=species:S:1:pos:R:3 pbc="T T T"
Sr 0.000 2.833 0.000
Sr 2.833 0.000 0.000
Ta 0.000 0.000 2.219
Co 0.000 0.000 0.000
C 2.833 2.833 2.219
```

Computed properties:
DOS(E_F)	6.436	states/eV per cell
electronic total energy	-4.680	eV/atom
formation energy	8.1	eV per formula unit
theoretical density	5.0	g/cm3

---

The following is a PBE-GGA calculation of crystalline BaCa2SmAu4 at its relaxed geometry, from the Alexandria database.

Cell and atoms, written as extended XYZ:
```
8
Lattice="2.593 1.497 9.303 -2.593 1.497 9.303 0.000 -2.994 9.303" Properties=species:S:1:pos:R:3 pbc="T T T"
Ba 0.000 0.000 0.000
Ca 0.000 0.000 6.782
Ca 0.000 0.000 21.125
Sm 0.000 0.000 13.954
Au 0.000 0.000 3.626
Au 0.000 0.000 10.956
Au 0.000 0.000 16.951
Au 0.000 0.000 24.282
```

Computed properties:
DOS(E_F)	5.702	states/eV per cell
electronic total energy	-3.724	eV/atom
formation energy	-6.0	eV per formula unit
theoretical density	8.9	g/cm3

---

The following is a PBE-GGA calculation of crystalline BC2 at its relaxed geometry, from the Alexandria database.

Cell and atoms, written as extended XYZ:
```
12
Lattice="6.017 -1.245 0.000 6.017 1.245 0.000 -1.133 0.000 5.116" Properties=species:S:1:pos:R:3 pbc="T T T"
B 0.000 0.000 0.000
B -0.487 0.000 2.598
B 4.246 0.000 2.300
B 7.675 0.000 1.714
C 0.627 0.000 1.459
C 0.184 0.000 4.084
C 3.109 0.000 3.459
C 3.722 0.000 0.760
C 3.722 0.000 4.848
C 7.037 0.000 4.275
C 8.270 0.000 3.244
C 8.875 0.000 0.582
```

Computed properties:
DOS(E_F)	1.704	states/eV per cell
energy above the lowest structure with this stoichiometry	84	meV/atom
electronic total energy	-8.051	eV/atom
formation energy	1.0	eV per formula unit
theoretical density	3.0	g/cm3

---

The following is a PBE-GGA calculation of crystalline LaTb2Pm2Tm2 at its relaxed geometry, from the Alexandria database.

Cell and atoms, written as extended XYZ:
```
7
Lattice="5.919 -1.767 0.000 5.919 1.767 0.000 -2.897 0.000 11.174" Properties=species:S:1:pos:R:3 pbc="T T T"
La 0.000 0.000 0.000
Tb 3.485 0.000 7.927
Tb 5.456 0.000 3.247
Pm 0.301 0.000 9.617
Pm 8.641 0.000 1.558
Tm 0.129 0.000 6.216
Tm 8.812 0.000 4.958
```

Computed properties:
DOS(E_F)	10.819	states/eV per cell
electronic total energy	-4.550	eV/atom
formation energy	0.8	eV per formula unit
theoretical density	7.7	g/cm3

---

The following is a PBE-GGA calculation of crystalline NpGaRh5 at its relaxed geometry, from the Alexandria database.

Cell and atoms, written as extended XYZ:
```
7
Lattice="4.075 0.000 0.000 0.000 4.075 0.000 0.000 0.000 6.813" Properties=species:S:1:pos:R:3 pbc="T T T"
Np 0.000 0.000 0.000
Ga 2.038 2.038 3.406
Rh 0.000 2.038 1.878
Rh 0.000 2.038 4.934
Rh 2.038 0.000 1.878
Rh 2.038 0.000 4.934
Rh 2.038 2.038 0.000
```

Computed properties:
DOS(E_F)	9.992	states/eV per cell
electronic total energy	-7.866	eV/atom
formation energy	-2.3	eV per formula unit
theoretical density	12.1	g/cm3

---

The following is a PBE-GGA calculation of crystalline Ho2As3Rh5 at its relaxed geometry, from the Alexandria database.

Cell and atoms, written as extended XYZ:
```
20
Lattice="2.076 -12.285 0.000 2.076 12.285 0.000 0.000 0.000 6.657" Properties=species:S:1:pos:R:3 pbc="T T T"
Ho 2.076 11.827 3.329
Ho 2.076 4.347 2.957
Ho 2.076 -4.347 6.285
Ho 2.076 -11.827 0.000
As 2.076 9.564 4.954
As 2.076 5.430 5.909
As 2.076 1.148 4.745
As 2.076 -1.148 1.417
As 2.076 -5.430 2.580
As 2.076 -9.564 1.626
Rh 2.076 9.842 0.878
Rh 2.076 7.332 4.032
Rh 2.076 6.795 1.280
Rh 2.076 2.985 6.439
Rh 2.076 1.390 2.256
Rh 2.076 -1.390 5.584
Rh 2.076 -2.985 3.111
Rh 2.076 -6.795 4.608
Rh 2.076 -7.332 0.703
Rh 2.076 -9.842 4.207
```

Computed properties:
DOS(E_F)	13.555	states/eV per cell
electronic total energy	-6.791	eV/atom
formation energy	-8.0	eV per formula unit
theoretical density	10.5	g/cm3

---

The following is a PBE-GGA calculation of crystalline AcPm2Os at its relaxed geometry, from the Alexandria database.

Cell and atoms, written as extended XYZ:
```
4
Lattice="3.563 0.000 0.000 0.000 3.563 0.000 0.000 0.000 9.784" Properties=species:S:1:pos:R:3 pbc="T T T"
Ac 0.000 0.000 0.000
Pm 1.782 1.782 3.213
Pm 1.782 1.782 6.571
Os 0.000 0.000 4.892
```

Computed properties:
DOS(E_F)	2.833	states/eV per cell
energy above the lowest structure with this stoichiometry	129	meV/atom
electronic total energy	-6.176	eV/atom
formation energy	0.1	eV per formula unit
theoretical density	9.5	g/cm3

---

The following is a PBE-GGA calculation of crystalline CuReSeBr2 at its relaxed geometry, from the Alexandria database.

Cell and atoms, written as extended XYZ:
```
5
Lattice="5.275 0.000 0.000 0.000 5.275 0.000 0.000 0.000 4.691" Properties=species:S:1:pos:R:3 pbc="T T T"
Cu 0.000 0.000 0.000
Re 2.638 2.638 2.345
Se 2.638 2.638 0.000
Br 0.000 2.638 2.345
Br 2.638 0.000 2.345
```

Computed properties:
DOS(E_F)	4.214	states/eV per cell
energy above the lowest structure with this stoichiometry	0	meV/atom
electronic total energy	-3.959	eV/atom
formation energy (no corrections)	716	meV per atom
theoretical density	6.2	g/cm3

---

The following is a PBE-GGA calculation of crystalline K3Sn6Au5 at its relaxed geometry, from the Alexandria database.

Cell and atoms, written as extended XYZ:
```
28
Lattice="4.753 0.000 0.000 0.000 14.113 0.000 0.000 0.000 11.891" Properties=species:S:1:pos:R:3 pbc="T T T"
K 1.188 1.460 2.805
K 1.188 5.597 2.805
K 1.188 10.585 3.182
K 3.565 3.528 8.709
K 3.565 8.516 9.086
K 3.565 12.654 9.086
Sn 1.188 0.826 7.113
Sn 1.188 3.528 5.496
Sn 1.188 3.528 11.332
Sn 1.188 6.230 7.113
Sn 1.188 8.034 0.265
Sn 1.188 13.136 0.265
Sn 3.565 0.978 11.626
Sn 3.565 6.079 11.626
Sn 3.565 7.883 4.778
Sn 3.565 10.585 0.559
Sn 3.565 10.585 6.395
Sn 3.565 13.287 4.778
Au 1.188 1.064 9.912
Au 1.188 5.992 9.912
Au 1.188 8.866 6.013
Au 1.188 10.585 11.139
Au 1.188 12.303 6.013
Au 3.565 1.810 5.878
Au 3.565 3.528 0.752
Au 3.565 5.247 5.878
Au 3.565 8.121 1.979
Au 3.565 13.049 1.979
```

Computed properties:
DOS(E_F)	9.652	states/eV per cell
electronic total energy	-3.385	eV/atom
formation energy	-3.7	eV per formula unit
theoretical density	7.6	g/cm3

---

The following is a PBE-GGA calculation of crystalline ReOs2Pt at its relaxed geometry, from the Alexandria database.

Cell and atoms, written as extended XYZ:
```
4
Lattice="2.732 0.000 0.000 0.000 2.732 0.000 0.000 0.000 7.907" Properties=species:S:1:pos:R:3 pbc="T T T"
Re 0.000 0.000 0.000
Os 0.000 0.000 3.817
Os 1.366 1.366 1.964
Pt 1.366 1.366 5.899
```

Computed properties:
DOS(E_F)	3.210	states/eV per cell
energy above the lowest structure with this stoichiometry	4	meV/atom
electronic total energy	-10.174	eV/atom
formation energy	0.3	eV per formula unit
theoretical density	21.4	g/cm3

---

The following is a PBE-GGA calculation of crystalline TaCdAs3 at its relaxed geometry, from the Alexandria database.

Cell and atoms, written as extended XYZ:
```
5
Lattice="4.964 0.000 0.000 0.000 4.964 0.000 0.000 0.000 4.964" Properties=species:S:1:pos:R:3 pbc="T T T"
Ta 0.000 0.000 0.000
Cd 2.482 2.482 2.482
As 0.000 2.482 2.482
As 2.482 0.000 2.482
As 2.482 2.482 0.000
```

Computed properties:
DOS(E_F)	8.397	states/eV per cell
energy above the lowest structure with this stoichiometry	1250	meV/atom
electronic total energy	-3.815	eV/atom
formation energy	7.6	eV per formula unit
theoretical density	7.0	g/cm3